Entry 1:
The following is a DFT calculation (PBE-GGA) of NaGa8Ag4 after structural relaxation.

- Relative energy among the computed polymorphs: 0.0 meV/atom
- Energy of formation: -21 meV/atom
- SG: I4/mmm

abc: 7.212 7.212 7.212
angles: 98.69 98.69 134.25
Element x y z (fractional)
Na 0.000 0.000 0.000
Ga 0.000 0.357 0.357
Ga 0.000 0.643 0.643
Ga 0.291 0.500 0.791
Ga 0.357 0.000 0.357
Ga 0.500 0.291 0.791
Ga 0.500 0.709 0.209
Ga 0.643 0.000 0.643
Ga 0.709 0.500 0.209
Ag 0.000 0.000 0.500
Ag 0.000 0.500 0.000
Ag 0.500 0.000 0.000
Ag 0.500 0.500 0.500

***

Entry 2:
The following is a DFT calculation (PBE-GGA) of Ca3La2UN6 after structural relaxation.

- Formation energy from raw total energies: -1.301 eV per atom
- SG: C2/m

abc: 6.308 6.308 6.118
angles: 99.88 99.88 120.17
Element x y z (fractional)
Ca 0.000 0.000 0.000
Ca 0.342 0.658 0.000
Ca 0.658 0.342 0.000
La 0.167 0.833 0.500
La 0.833 0.167 0.500
U 0.500 0.500 0.500
N 0.133 0.426 0.277
N 0.277 0.277 0.716
N 0.426 0.133 0.277
N 0.574 0.867 0.723
N 0.723 0.723 0.284
N 0.867 0.574 0.723

***

Entry 3:
The following is a DFT calculation (PBE-GGA) of SrTb4Se6 after structural relaxation.

- Formation energy from raw total energies: -1.891 eV per atom
- SG: Cmcm

abc: 7.074 7.074 21.175
angles: 90.00 90.00 146.11
Element x y z (fractional)
Sr 0.159 0.841 0.750
Sr 0.841 0.159 0.250
Tb 0.093 0.907 0.128
Tb 0.093 0.907 0.372
Tb 0.362 0.638 0.039
Tb 0.362 0.638 0.461
Tb 0.638 0.362 0.539
Tb 0.638 0.362 0.961
Tb 0.907 0.093 0.628
Tb 0.907 0.093 0.872
Se 0.000 0.000 0.000
Se 0.000 0.000 0.500
Se 0.175 0.825 0.250
Se 0.269 0.731 0.587
Se 0.269 0.731 0.913
Se 0.455 0.545 0.161
Se 0.455 0.545 0.339
Se 0.545 0.455 0.661
Se 0.545 0.455 0.839
Se 0.731 0.269 0.087
Se 0.731 0.269 0.413
Se 0.825 0.175 0.750

***

Entry 4:
The following is a DFT calculation (PBE-GGA) of AcTb4Er4 after structural relaxation.

- Energy of formation: 119 meV/atom
- SG: C2/m

abc: 9.194 9.194 10.888
angles: 93.51 93.51 139.30
Element x y z (fractional)
Ac 0.223 0.223 0.275
Ac 0.777 0.777 0.725
Tb 0.182 0.818 0.000
Tb 0.347 0.637 0.839
Tb 0.357 0.643 0.500
Tb 0.363 0.653 0.161
Tb 0.637 0.347 0.839
Tb 0.643 0.357 0.500
Tb 0.653 0.363 0.161
Tb 0.818 0.182 0.000
Er 0.170 0.794 0.337
Er 0.206 0.830 0.663
Er 0.224 0.224 0.614
Er 0.231 0.231 0.945
Er 0.769 0.769 0.055
Er 0.776 0.776 0.386
Er 0.794 0.170 0.337
Er 0.830 0.206 0.663

***

Please write out number 1 again, unchanged.
The following is a DFT calculation (PBE-GGA) of NaGa8Ag4 after structural relaxation.

- Relative energy among the computed polymorphs: 0.0 meV/atom
- Energy of formation: -21 meV/atom
- SG: I4/mmm

abc: 7.212 7.212 7.212
angles: 98.69 98.69 134.25
Element x y z (fractional)
Na 0.000 0.000 0.000
Ga 0.000 0.357 0.357
Ga 0.000 0.643 0.643
Ga 0.291 0.500 0.791
Ga 0.357 0.000 0.357
Ga 0.500 0.291 0.791
Ga 0.500 0.709 0.209
Ga 0.643 0.000 0.643
Ga 0.709 0.500 0.209
Ag 0.000 0.000 0.500
Ag 0.000 0.500 0.000
Ag 0.500 0.000 0.000
Ag 0.500 0.500 0.500

***

Please write out number 3 again, unchanged.
The following is a DFT calculation (PBE-GGA) of SrTb4Se6 after structural relaxation.

- Formation energy from raw total energies: -1.891 eV per atom
- SG: Cmcm

abc: 7.074 7.074 21.175
angles: 90.00 90.00 146.11
Element x y z (fractional)
Sr 0.159 0.841 0.750
Sr 0.841 0.159 0.250
Tb 0.093 0.907 0.128
Tb 0.093 0.907 0.372
Tb 0.362 0.638 0.039
Tb 0.362 0.638 0.461
Tb 0.638 0.362 0.539
Tb 0.638 0.362 0.961
Tb 0.907 0.093 0.628
Tb 0.907 0.093 0.872
Se 0.000 0.000 0.000
Se 0.000 0.000 0.500
Se 0.175 0.825 0.250
Se 0.269 0.731 0.587
Se 0.269 0.731 0.913
Se 0.455 0.545 0.161
Se 0.455 0.545 0.339
Se 0.545 0.455 0.661
Se 0.545 0.455 0.839
Se 0.731 0.269 0.087
Se 0.731 0.269 0.413
Se 0.825 0.175 0.750